A relaxed Na2LiV5H18O23 crystal, computed with PBEsol.

a = 8.5458 Å, b = 10.3144 Å, c = 11.9611 Å
α = 106.14°, β = 101.00°, γ = 98.14°
Element x y z (fractional)
Na 0.0051 0.2492 0.3074
Na 0.2237 0.8549 0.5216
Na 0.7763 0.1451 0.4784
Na 0.9949 0.7508 0.6926
Li 0.0027 0.2036 0.0658
Li 0.9973 0.7964 0.9342
V 0.2137 0.3569 0.7306
V 0.3154 0.5210 0.0022
V 0.3918 0.2245 0.9108
V 0.4325 0.6833 0.2680
V 0.4946 0.3861 0.1780
V 0.5054 0.6139 0.8220
V 0.5675 0.3167 0.7320
V 0.6082 0.7755 0.0892
V 0.6846 0.4790 0.9978
V 0.7863 0.6431 0.2694
H 0.0091 0.5495 0.8359
H 0.0364 0.1968 0.8564
H 0.0667 0.0430 0.3939
H 0.1028 0.0447 0.6956
H 0.1163 0.0056 0.1425
H 0.1316 0.7629 0.1234
H 0.1559 0.5730 0.5052
H 0.1758 0.4401 0.2059
H 0.2313 0.6206 0.6401
H 0.2505 0.1418 0.1671
H 0.2626 0.9251 0.9116
H 0.2809 0.7744 0.9131
H 0.2939 0.1381 0.5252
H 0.3159 0.3879 0.4970
H 0.3177 0.4413 0.3841
H 0.3461 0.0572 0.4091
H 0.4899 0.1355 0.2947
H 0.4959 0.9793 0.2849
H 0.5041 0.0207 0.7151
H 0.5101 0.8645 0.7053
H 0.6539 0.9428 0.5909
H 0.6823 0.5587 0.6159
H 0.6841 0.6121 0.5030
H 0.7061 0.8619 0.4748
H 0.7191 0.2256 0.0869
H 0.7374 0.0749 0.0884
H 0.7495 0.8582 0.8329
H 0.7687 0.3794 0.3599
H 0.8242 0.5599 0.7941
H 0.8441 0.4270 0.4948
H 0.8684 0.2371 0.8766
H 0.8837 0.9944 0.8575
H 0.8972 0.9553 0.3044
H 0.9333 0.9570 0.6061
H 0.9636 0.8032 0.1436
H 0.9909 0.4505 0.1641
O 0.0435 0.3133 0.6334
O 0.0500 0.9524 0.6386
O 0.0571 0.8244 0.1077
O 0.0622 0.3873 0.1827
O 0.1319 0.1058 0.1514
O 0.1581 0.4656 0.8758
O 0.1695 0.6528 0.5771
O 0.2007 0.8279 0.8869
O 0.2044 0.2174 0.8002
O 0.2466 0.4078 0.4311
O 0.2495 0.6164 0.1175
O 0.2592 0.0526 0.4551
O 0.3085 0.5342 0.7293
O 0.3100 0.3559 0.0351
O 0.3402 0.7587 0.3635
O 0.3471 0.0855 0.9445
O 0.3581 0.2881 0.6458
O 0.3891 0.5011 0.2685
O 0.4121 0.6801 0.9614
O 0.4485 0.2436 0.2092
O 0.4585 0.4308 0.8863
O 0.4944 0.8202 0.1998
O 0.4973 0.9280 0.6567
O 0.5027 0.0720 0.3433
O 0.5056 0.1798 0.8002
O 0.5415 0.5692 0.1137
O 0.5515 0.7564 0.7908
O 0.5879 0.3199 0.0386
O 0.6109 0.4989 0.7315
O 0.6419 0.7119 0.3542
O 0.6529 0.9145 0.0555
O 0.6598 0.2413 0.6365
O 0.6900 0.6441 0.9649
O 0.6915 0.4658 0.2707
O 0.7408 0.9474 0.5449
O 0.7505 0.3836 0.8825
O 0.7534 0.5922 0.5689
O 0.7956 0.7826 0.1998
O 0.7993 0.1721 0.1131
O 0.8305 0.3472 0.4229
O 0.8419 0.5344 0.1242
O 0.8681 0.8942 0.8486
O 0.9378 0.6127 0.8173
O 0.9429 0.1756 0.8923
O 0.9500 0.0476 0.3614
O 0.9565 0.6867 0.3666

Results
- Density: 2.369 g cm⁻³
- SG: P-1
- Magnetization: 0.07 μB/cell
- E_tot: -6.375 eV/atom